No. 1
VASP calculation (PBE+U) on crystalline UCoO4 at its relaxed geometry.

POSCAR file:
```
UCoO4
1.0
-3.298 3.505 3.291
3.298 -3.505 3.291
3.298 3.505 -3.291
U Co O
2 2 8
Direct
0.270 0.020 0.250
0.730 0.980 0.750
0.000 0.500 0.500
0.500 0.500 0.000
0.180 0.194 0.986
0.269 0.318 0.549
0.269 0.720 0.951
0.291 0.806 0.486
0.709 0.194 0.514
0.731 0.280 0.049
0.731 0.682 0.451
0.820 0.806 0.014
```

Output
- Raw total energy: -8.4499 eV/atom
- M_tot: 3.0 μB/f.u.

---

No. 2
VASP calculation (PBE+U) on crystalline UV2CoO8 at its relaxed geometry.

POSCAR file:
```
UV2CoO8
1.0
3.316 -3.345 0.000
3.316 3.345 0.000
0.000 0.000 5.989
U V Co O
1 2 1 8
Direct
0.000 0.000 0.000
0.500 0.500 0.286
0.500 0.500 0.714
0.000 0.000 0.500
0.217 0.783 0.256
0.217 0.783 0.744
0.291 0.291 0.500
0.310 0.310 0.000
0.690 0.690 0.000
0.709 0.709 0.500
0.783 0.217 0.256
0.783 0.217 0.744
```

Output
- Raw total energy: -7.9623 eV/atom
- M_tot: 1.0 μB/f.u.

---

No. 3
VASP calculation (PBE+U) on crystalline YUCoO6 at its relaxed geometry.

POSCAR file:
```
YUCoO6
1.0
5.203 0.000 0.000
-2.602 4.506 0.000
0.000 0.000 10.015
Y U Co O
2 2 2 12
Direct
0.000 0.000 0.000
0.000 0.000 0.500
0.333 0.667 0.250
0.667 0.333 0.750
0.333 0.667 0.750
0.667 0.333 0.250
0.022 0.364 0.639
0.022 0.658 0.861
0.342 0.364 0.861
0.342 0.978 0.639
0.364 0.022 0.139
0.364 0.342 0.361
0.636 0.658 0.639
0.636 0.978 0.861
0.658 0.022 0.361
0.658 0.636 0.139
0.978 0.342 0.139
0.978 0.636 0.361
```

Output
- DOS(E_F): 0.000 states/eV/f.u.
- Raw total energy: -8.4625 eV/atom
- M_tot: 0.0 μB/f.u.

---

No. 4
VASP calculation (PBE+U) on crystalline ZrUCoO6 at its relaxed geometry.

POSCAR file:
```
ZrUCoO6
1.0
5.571 0.000 0.000
-2.785 4.824 0.000
0.000 0.000 8.842
Zr U Co O
2 2 2 12
Direct
0.333 0.667 0.250
0.667 0.333 0.750
0.333 0.667 0.750
0.667 0.333 0.250
0.000 0.000 0.000
0.000 0.000 0.500
0.004 0.344 0.631
0.004 0.660 0.869
0.340 0.344 0.869
0.340 0.996 0.631
0.344 0.004 0.131
0.344 0.340 0.369
0.656 0.660 0.631
0.656 0.996 0.869
0.660 0.004 0.369
0.660 0.656 0.131
0.996 0.340 0.131
0.996 0.656 0.369
```

Output
- DOS(E_F): 6.618 states/eV/f.u.
- Raw total energy: -8.5545 eV/atom
- M_tot: 3.0 μB/f.u.

---

No. 5
VASP calculation (PBE+U) on crystalline V2CoO4 at its relaxed geometry.

POSCAR file:
```
V2CoO4
1.0
-3.051 3.051 4.233
3.051 -3.051 4.233
3.051 3.051 -4.233
V Co O
4 2 8
Direct
0.000 0.000 0.000
0.500 0.000 0.000
0.500 0.000 0.500
0.500 0.500 0.500
0.125 0.375 0.750
0.875 0.625 0.250
0.252 0.237 0.472
0.263 0.235 0.015
0.265 0.780 0.028
0.280 0.752 0.515
0.720 0.248 0.485
0.735 0.220 0.972
0.737 0.765 0.985
0.748 0.763 0.528
```

Output
- DOS(E_F): 0.000 states/eV/f.u.
- Raw total energy: -7.5042 eV/atom
- M_tot: 7.0 μB/f.u.

---

No. 6
VASP calculation (PBE+U) on crystalline VCo3O at its relaxed geometry.

POSCAR file:
```
VCo3O
1.0
3.920 0.000 0.000
0.000 3.920 0.000
0.000 0.000 3.920
V Co O
1 3 1
Direct
0.000 0.000 0.000
0.000 0.500 0.500
0.500 0.000 0.500
0.500 0.500 0.000
0.500 0.500 0.500
```

Output
- DOS(E_F): 2.198 states/eV/f.u.
- Raw total energy: -5.0504 eV/atom
- M_tot: 6.0 μB/f.u.

---

No. 7
VASP calculation (PBE+U) on crystalline VCoO3 at its relaxed geometry.

POSCAR file:
```
VCoO3
1.0
2.523 1.457 4.635
-2.523 1.457 4.635
0.000 -2.913 4.635
V Co O
2 2 6
Direct
0.150 0.150 0.150
0.850 0.850 0.850
0.358 0.358 0.358
0.642 0.642 0.642
0.055 0.439 0.765
0.235 0.945 0.561
0.439 0.765 0.055
0.561 0.235 0.945
0.765 0.055 0.439
0.945 0.561 0.235
```

Output
- DOS(E_F): 4.237 states/eV/f.u.
- Raw total energy: -6.9069 eV/atom
- M_tot: 2.0 μB/f.u.

---

No. 8
VASP calculation (PBE+U) on crystalline VCo3O8 at its relaxed geometry.

POSCAR file:
```
VCo3O8
1.0
5.649 0.000 0.000
-2.824 4.892 0.000
0.000 0.000 8.804
V Co O
2 6 16
Direct
0.333 0.667 0.000
0.667 0.333 0.500
0.169 0.339 0.711
0.169 0.831 0.711
0.339 0.169 0.211
0.661 0.831 0.711
0.831 0.169 0.211
0.831 0.661 0.211
0.000 0.000 0.306
0.000 0.000 0.806
0.044 0.522 0.833
0.170 0.340 0.095
0.170 0.830 0.095
0.333 0.667 0.605
0.340 0.170 0.595
0.478 0.522 0.833
0.478 0.956 0.833
0.522 0.044 0.333
0.522 0.478 0.333
0.660 0.830 0.095
0.667 0.333 0.105
0.830 0.170 0.595
0.830 0.660 0.595
0.956 0.478 0.333
```

Output
- DOS(E_F): 4.618 states/eV/f.u.
- Raw total energy: -6.1870 eV/atom
- M_tot: 2.0 μB/f.u.